Material: Na2Zn3CdAu4
Method: DFT, PBE
State: relaxed

Summary:
ΔE_f	-0.2111	eV per atom
calculated volume	219	Å³/cell

a = 4.5236 Å, b = 4.5236 Å, c = 10.6922 Å
α = 90.00°, β = 90.00°, γ = 90.00°
Last column: nearest neighbours and their distance in Å.
Positions (direct):
Zn  0.0000  0.5000  0.1206  5 Au 2.51-2.60
Zn  0.0000  0.0000  0.5000  4 Au 2.74
Zn  0.5000  0.0000  0.8794  5 Au 2.51-2.60
Na  0.0000  0.5000  0.7633  8 Au 3.39-3.44, 6 Zn 3.43-3.61, 2 Cd 3.61
Na  0.5000  0.0000  0.2367  8 Au 3.39-3.44, 6 Zn 3.43-3.61, 2 Cd 3.61
Au  0.0000  0.5000  0.3552  3 Zn 2.51-2.74, 2 Cd 2.74
Au  0.0000  0.0000  0.0000  4 Zn 2.60
Au  0.5000  0.0000  0.6448  3 Zn 2.51-2.74, 2 Cd 2.74
Au  0.5000  0.5000  0.0000  4 Zn 2.60
Cd  0.5000  0.5000  0.5000  4 Au 2.74



Material: TiBeRh
Method: DFT, PBE
State: relaxed

Summary:
distance to the lowest polymorph of the same formula	0.000	eV per formula unit
ΔE_f	-0.5725	eV per atom
calculated volume	156	Å³/cell

a = 3.7035 Å, b = 7.3162 Å, c = 5.7739 Å
α = 90.00°, β = 90.00°, γ = 90.00°
Last column: nearest neighbours and their distance in Å.
Positions (direct):
Be  0.7500  0.6226  0.2752  4 Rh 2.30-2.38, 2 Ti 2.56
Be  0.7500  0.8774  0.7752  4 Rh 2.30-2.38, 2 Ti 2.56
Be  0.2500  0.1226  0.2248  4 Rh 2.30-2.38, 2 Ti 2.56
Be  0.2500  0.3774  0.7248  4 Rh 2.30-2.38, 2 Ti 2.56
Ti  0.7500  0.3150  0.0392  5 Be 2.56-2.63, 3 Rh 2.62-2.75
Ti  0.2500  0.8150  0.4608  5 Be 2.56-2.63, 3 Rh 2.62-2.75
Ti  0.7500  0.1850  0.5392  5 Be 2.56-2.63, 3 Rh 2.62-2.75
Ti  0.2500  0.6850  0.9608  5 Be 2.56-2.63, 3 Rh 2.62-2.75
Rh  0.7500  0.5616  0.6801  4 Be 2.30-2.38
Rh  0.2500  0.0616  0.8199  4 Be 2.30-2.38
Rh  0.7500  0.9384  0.1801  4 Be 2.30-2.38
Rh  0.2500  0.4384  0.3199  4 Be 2.30-2.38



Material: Rb3NdI6
Method: DFT, PBE
State: relaxed

Summary:
energy relative to the elements, uncorrected	-14.8	eV per formula unit
calculated volume	1036	Å³/cell

a = 8.7713 Å, b = 9.4279 Å, c = 12.5342 Å
α = 90.00°, β = 88.16°, γ = 90.00°
Last column: nearest neighbours and their distance in Å.
Positions (direct):
Nd  0.5000  0.5000  0.5000  6 I 3.13-3.15
Nd  0.0000  0.0000  0.0000  6 I 3.13-3.15
I  0.8375  0.7223  0.9214  1 Nd 3.15
I  0.6388  0.4435  0.2703  1 Nd 3.14
I  0.6625  0.2223  0.5786  1 Nd 3.15
I  0.3612  0.5565  0.7297  1 Nd 3.14
I  0.3375  0.7777  0.4214  1 Nd 3.15
I  0.7121  0.1772  0.9419  1 Nd 3.13
I  0.8612  0.9435  0.2297  1 Nd 3.14
I  0.2879  0.8228  0.0581  1 Nd 3.13
I  0.1388  0.0565  0.7703  1 Nd 3.14
I  0.2121  0.3228  0.4419  1 Nd 3.13
I  0.7879  0.6772  0.5581  1 Nd 3.13
I  0.1625  0.2777  0.0786  1 Nd 3.15
Rb  0.5000  0.5000  0.0000  6 I 3.63-3.73
Rb  0.4646  0.0846  0.2413  6 I 3.72-3.99
Rb  0.0000  0.0000  0.5000  6 I 3.63-3.73
Rb  0.9646  0.4154  0.7413  6 I 3.72-3.99
Rb  0.5354  0.9154  0.7587  6 I 3.72-3.99
Rb  0.0354  0.5846  0.2587  6 I 3.72-3.99